12
Lattice="5.682 0.000 0.000 -2.841 4.921 0.000 0.000 0.000 7.767" Properties=species:S:1:pos:R:3 comment="PBE with a Hubbard U BaCaCr2O8, relaxed" dos_at_fermi_per_ev_atom=0.000 sg="P-3m1, No. 164" density_g_cm3=3.13 e_tot_ev_per_atom=-6.87 m_tot_mub_per_fu=0.00 pbc="T T T"
Ba 0.000 0.000 0.000
Ca 0.000 0.000 3.883
Cr 2.841 1.640 1.746
Cr 0.000 3.280 6.021
O 0.000 3.280 7.668
O 1.472 0.845 2.274
O 4.215 0.852 2.274
O 2.841 1.640 0.099
O -1.374 4.068 5.493
O 1.369 4.076 5.493
O 0.004 1.697 5.493
O 2.837 3.224 2.274